This record from Alexandria describes an optimized crystal structure of Sm9Al5Se21. The functional is PBE.

Computed properties:
The value obtained for the density of states at the Fermi level is 0.00 states/eV/cell. The space group is R3 (146). Its volume is 25.4 Å³ per atom. Its uncorrected formation energy is -35.175 kcal/mol of atoms.

Lattice parameters (Å, degrees): 12.141 12.141 12.141 94.18 94.18 94.18
Atoms (fractional coordinates):
Se 0.328 0.660 0.993
Sm 0.606 0.444 0.235
Se 0.237 0.107 0.336
Al 0.643 0.643 0.643
Se 0.899 0.762 0.004
Se 0.797 0.309 0.892
Sm 0.414 0.570 0.790
Sm 0.790 0.414 0.570
Se 0.693 0.588 0.445
Se 0.309 0.892 0.797
Se 0.285 0.370 0.839
Se 0.460 0.995 0.550
Se 0.849 0.620 0.717
Se 0.993 0.328 0.660
Sm 0.570 0.790 0.414
Se 0.588 0.445 0.693
Se 0.839 0.285 0.370
Sm 0.444 0.235 0.606
Al 0.119 0.453 0.777
Se 0.939 0.036 0.522
Se 0.107 0.336 0.237
Sm 0.547 0.930 0.771
Sm 0.930 0.771 0.547
Se 0.370 0.839 0.285
Al 0.281 0.954 0.614
Al 0.326 0.326 0.326
Se 0.829 0.492 0.160
Sm 0.067 0.228 0.450
Sm 0.771 0.547 0.930
Se 0.336 0.237 0.107
Se 0.036 0.522 0.939
Se 0.445 0.693 0.588
Al 0.954 0.614 0.281
Al 0.453 0.777 0.119
Al 0.142 0.142 0.142
Se 0.550 0.460 0.995
Se 0.380 0.512 0.270
Se 0.620 0.717 0.849
Sm 0.228 0.450 0.067
Se 0.995 0.550 0.460
Al 0.777 0.119 0.453
Se 0.512 0.270 0.380
Se 0.492 0.160 0.829
Se 0.206 0.958 0.058
Se 0.270 0.380 0.512
Sm 0.116 0.888 0.263
Se 0.701 0.186 0.619
Sm 0.753 0.904 0.124
Al 0.614 0.281 0.954
Se 0.522 0.939 0.036
Se 0.958 0.058 0.206
Sm 0.124 0.753 0.904
Se 0.892 0.797 0.309
Sm 0.263 0.116 0.888
Al 0.827 0.827 0.827
Sm 0.904 0.124 0.753
Se 0.160 0.829 0.492
Se 0.762 0.004 0.899
Se 0.004 0.899 0.762
Sm 0.450 0.067 0.228
Se 0.717 0.849 0.620
Sm 0.888 0.263 0.116
Se 0.133 0.648 0.214
Se 0.648 0.214 0.133
Sm 0.235 0.606 0.444
Se 0.214 0.133 0.648
Se 0.660 0.993 0.328
Se 0.619 0.701 0.186
Se 0.186 0.619 0.701
Se 0.058 0.206 0.958